1.
Material: Li2LaPt
Method: DFT, SCAN
State: single point on PBEsol structure

Calculated values
* formation energy from the elements: -0.6191 eV/atom
* space-group type: No. 6
* energy above the most stable polymorph in this dataset: 22 meV per atom

Cell lengths 4.188, 3.858, 5.851 Å; angles 90.00, 109.97, 90.00 degrees
Fractional positions:
Li1 0.000 0.000 0.000
Li2 0.416 0.500 0.844
La1 0.714 0.500 0.424
Pt1 0.258 0.000 0.518

---

2.
Material: LiLaPt4
Method: DFT, SCAN
State: single point on PBEsol structure

Calculated values
* formation energy from the elements: -1.0177 eV/atom
* space-group type: No. 216

Cell lengths 5.347, 5.347, 5.347 Å; angles 60.00, 60.00, 60.00 degrees
Fractional positions:
Li1 0.000 0.000 0.000
La1 0.750 0.750 0.750
Pt1 0.374 0.374 0.374
Pt2 0.374 0.374 0.877
Pt3 0.374 0.877 0.374
Pt4 0.877 0.374 0.374

---

3.
Material: LiLa3Pt
Method: DFT, SCAN
State: single point on PBEsol structure

Calculated values
* formation energy from the elements: -0.4295 eV/atom
* space-group type: No. 221

Cell lengths 5.687, 5.687, 5.687 Å; angles 90.00, 90.00, 90.00 degrees
Fractional positions:
Li1 0.000 0.000 0.000
La1 0.000 0.500 0.500
La2 0.500 0.000 0.500
La3 0.500 0.500 0.000
Pt1 0.500 0.500 0.500

---

4.
Material: LiLaSiPt2
Method: DFT, SCAN
State: single point on PBEsol structure

Calculated values
* formation energy without anion corrections: 1.04 eV per atom
* space-group type: No. 123

Cell lengths 5.105, 5.105, 4.904 Å; angles 90.00, 90.00, 90.00 degrees
Fractional positions:
Li1 0.000 0.000 0.000
La1 0.000 0.000 0.500
Si1 0.500 0.500 0.000
Pt1 0.000 0.500 0.500
Pt2 0.500 0.000 0.500

---

Number 1: uncorrected energy -30.139 eV per atom. Number 2: uncorrected energy -55.396 eV per atom. Number 3: uncorrected energy -40.809 eV per atom. Number 4: uncorrected energy -38.137 eV per atom.